[1]
Cs6MgHg4 after structural relaxation, computed with GGA-PBE.

Cell and atoms, written as extended XYZ:
```
22
Lattice="9.3483 0.0000 0.0000 0.0000 10.6790 -6.1655 0.0000 0.0000 12.3311" Properties=species:S:1:pos:R:3 pbc="T T T"
Cs 1.2773 4.9983 8.6572
Cs 8.9057 2.8473 0.0000
Cs 8.9057 9.2554 3.6997
Cs 1.2773 4.9983 3.6738
Cs 8.9057 9.2554 -3.6997
Cs 5.9514 5.6808 2.4917
Cs 4.2315 1.4237 9.8652
Cs 1.2773 0.6825 6.1655
Cs 5.9514 5.6808 -2.4917
Cs 4.2315 1.4237 2.4659
Cs 4.2315 7.8317 6.1656
Cs 5.9514 9.9965 0.0000
Hg 8.7750 7.1194 0.0000
Hg 7.8862 2.1508 8.6057
Hg 3.2120 4.3017 0.0000
Hg 3.2120 8.5282 2.4402
Hg 3.2120 8.5282 -2.4402
Hg 7.8862 2.1509 3.7254
Hg 7.8862 6.3773 6.1655
Hg 4.1008 3.5597 6.1655
Mg 2.3841 7.1194 0.0000
Mg 7.0583 3.5597 6.1655
```

Calculated values
Raw total energy   -0.88 eV/atom
Energy of formation   -0.16 eV/atom
Total moment   0.000 μB/cell

[2]
CsMgHg2 after structural relaxation, computed with GGA-PBE.

Cell and atoms, written as extended XYZ:
```
4
Lattice="-3.8786 2.4568 -2.0769 -2.7035 -2.1845 -3.6485 -6.3581 -2.5421 2.7534" Properties=species:S:1:pos:R:3 pbc="T T T"
Cs -6.4701 -1.1349 -1.4860
Hg -2.5347 -0.1246 -1.5270
Hg -10.4054 -2.1451 -1.4449
Mg 0.0000 0.0000 0.0000
```

Calculated values
Raw total energy   -0.95 eV/atom
Energy of formation   -0.19 eV/atom
Total moment   0.000 μB/cell

[3]
CsMgHg2 after structural relaxation, computed with GGA-PBE.

Cell and atoms, written as extended XYZ:
```
8
Lattice="6.0593 0.0000 0.0000 0.0000 6.0593 0.0000 3.0297 3.0297 9.7318" Properties=species:S:1:pos:R:3 pbc="T T T"
Mg 3.0297 3.0297 0.0000
Mg 3.0297 6.0593 4.8659
Cs 0.0000 0.0000 0.0000
Cs 6.0593 3.0297 4.8659
Hg 3.0309 1.5148 2.4329
Hg 7.5742 6.0606 7.2988
Hg 3.0284 4.5445 2.4329
Hg 4.5445 6.0581 7.2988
```

Calculated values
Raw total energy   -0.84 eV/atom
Energy of formation   -0.08 eV/atom
Total moment   0.000 μB/cell

Result set for theoretical density: 4.4; 6.2; 5.2 g cm⁻³, one per record in the order listed.